DFT (PBE) results for a relaxed structure of MgInSe3.

Calculated values
- DOS at the Fermi energy: 9.44 states/eV per cell
- Symmetry: No. 148
- Energy relative to the elements, uncorrected: -0.562 eV/atom
- Total magnetic moment: 0.0 μB/cell
- Offset from the most stable computed form: 77 meV/atom
- Raw total energy: -3.520 eV/atom
- Crystal system: trigonal

```
MgInSe3
1.0
3.3787 1.9507 6.4378
-3.3787 1.9507 6.4378
0.0000 -3.9014 6.4378
Mg In Se
2 2 6
direct
0.1514 0.1514 0.1514
0.8486 0.8486 0.8486
0.3519 0.3519 0.3519
0.6481 0.6481 0.6481
0.0489 0.4492 0.7552
0.2448 0.9511 0.5508
0.4492 0.7552 0.0489
0.5508 0.2448 0.9511
0.7552 0.0489 0.4492
0.9511 0.5508 0.2448
```